Record 1
Ga2AuBr: relaxed, PBE.

Lattice parameters (Å, degrees): 5.084 5.084 5.084 60.00 60.00 60.00
Fractional positions:
Ga: 0.250 0.250 0.250
Ga: 0.750 0.750 0.750
Au: 0.000 0.000 0.000
Br: 0.500 0.500 0.500

Values from the calculation:
The volume is 93 Å³/cell. Its density is 7.439 g/cm3. The calculation puts the uncorrected formation energy at -0.066 eV per atom. For the density of states at the Fermi level, the calculation gives 0.3 states/eV/cell. Its crystal system is cubic. Its symmetry is Fm-3m, No. 225. The value obtained for the offset from the most stable computed form is 0.256 eV per atom.

Record 2
TiTl2Br2Cl4: relaxed, PBE.

Lattice parameters (Å, degrees): 7.265 7.265 7.266 119.13 119.13 58.40
Fractional positions:
Ti: 0.000 0.000 0.000
Tl: 0.251 0.251 0.771
Tl: 0.749 0.749 0.229
Br: 0.239 0.239 0.294
Br: 0.761 0.761 0.706
Cl: 0.205 0.737 0.198
Cl: 0.263 0.795 0.802
Cl: 0.737 0.205 0.198
Cl: 0.795 0.263 0.802

Values from the calculation:
The volume is 271 Å³/cell. Its density is 4.644 g/cm3. The calculation puts the uncorrected formation energy at -1.252 eV per atom. For the density of states at the Fermi level, the calculation gives 0.0 states/eV/cell. Its crystal system is monoclinic. Its symmetry is C2/m, No. 12.

Record 3
Tb2DyTe: relaxed, PBE.

Lattice parameters (Å, degrees): 10.013 10.013 10.013 22.43 22.43 22.43
Fractional positions:
Tb: 0.000 0.000 0.000
Tb: 0.188 0.188 0.188
Dy: 0.761 0.761 0.761
Te: 0.594 0.594 0.594

Values from the calculation:
The volume is 128 Å³/cell. Its density is 7.878 g/cm3. The calculation puts the uncorrected formation energy at -0.537 eV per atom. For the density of states at the Fermi level, the calculation gives 4.9 states/eV/cell. Its crystal system is trigonal. Its symmetry is R3m, No. 160. The value obtained for the offset from the most stable computed form is 0.121 eV per atom.